## LaTb6Co2 (PBE)

Data for LaTb6Co2 after structural relaxation.

The formation energy is -0.028 eV per atom.

Cell and atoms, written as POSCAR:
```
LaTb6Co2
1.0
-4.736 4.992 5.160
4.736 -4.992 5.160
4.736 4.992 -5.160
La Tb Co
2 12 4
Direct
0.000 0.000 0.000
0.500 0.000 0.500
0.010 0.230 0.780
0.192 0.491 0.298
0.192 0.894 0.702
0.306 0.304 0.610
0.306 0.696 0.002
0.450 0.230 0.220
0.550 0.770 0.780
0.694 0.304 0.998
0.694 0.696 0.390
0.808 0.106 0.298
0.808 0.509 0.702
0.990 0.770 0.220
0.111 0.500 0.611
0.386 0.386 0.000
0.614 0.614 0.000
0.889 0.500 0.389
```

=====

## KGaGe (PBE)

Data for KGaGe after structural relaxation.

The formation energy is 0.196 eV per atom.

Cell and atoms, written as POSCAR:
```
KGaGe
1.0
7.715 0.000 0.000
0.000 2.909 3.608
0.000 -2.909 3.608
K Ga Ge
2 2 2
Direct
0.000 0.000 0.000
0.000 0.500 0.500
0.382 0.606 0.106
0.618 0.106 0.606
0.323 0.970 0.470
0.677 0.470 0.970
```

=====

## NbSiTcMo (PBE)

Data for NbSiTcMo after structural relaxation.

The uncorrected formation energy is -0.2498 eV/atom.

Cell and atoms, written as POSCAR:
```
NbSiTcMo
1.0
0.000 3.117 3.117
3.117 0.000 3.117
3.117 3.117 0.000
Nb Si Tc Mo
1 1 1 1
Direct
0.000 0.000 0.000
0.500 0.500 0.500
0.750 0.750 0.750
0.250 0.250 0.250
```

=====

Record order is preserved below.
M_tot: 0.00, 0.00, 0.00 μB per formula unit
Record order is preserved below.
DOS(E_F): 22.0, 1.6, 4.1 states/eV/cell
Record order is preserved below.
Total energy: -47.18, -8.15, -37.69 eV per formula unit